1.
# LiCa2Ga2Pt5

LiCa2Ga2Pt5 after structural relaxation (PBE-GGA, the Alexandria database).

Geometry as POSCAR:
```
LiCa2Ga2Pt5
1.0
3.6928 0.0000 0.0000
0.0000 9.7655 0.0000
0.0000 0.0000 9.7655
Li Ca Ga Pt
2 4 4 10
direct
0.0000 0.0000 0.0000
0.0000 0.5000 0.5000
0.0000 0.6735 0.1735
0.0000 0.3265 0.8265
0.0000 0.1735 0.3265
0.0000 0.8265 0.6735
0.0000 0.1264 0.6264
0.0000 0.8736 0.3736
0.0000 0.6264 0.8736
0.0000 0.3736 0.1264
0.5000 0.1996 0.0650
0.5000 0.8004 0.9350
0.5000 0.0650 0.8004
0.5000 0.6996 0.4350
0.5000 0.9350 0.1996
0.5000 0.3004 0.5650
0.5000 0.5650 0.6996
0.5000 0.4350 0.3004
0.5000 0.5000 0.0000
0.5000 0.0000 0.5000
```

Its space-group type is No. 127.


2.
# AlFeHg2

AlFeHg2 after structural relaxation (PBE-GGA, the Alexandria database).

Geometry as POSCAR:
```
AlFeHg2
1.0
3.1314 0.0000 0.0000
0.0000 4.0288 0.0000
0.0000 0.0000 5.7725
Al Hg Fe
1 2 1
direct
0.5000 0.5000 0.2500
0.0000 0.0000 0.9945
0.0000 0.0000 0.5055
0.5000 0.5000 0.7500
```

Its space-group type is No. 47.


3.
# Li4BeHg

Li4BeHg after structural relaxation (PBE-GGA, the Alexandria database).

Geometry as POSCAR:
```
Li4BeHg
1.0
0.0000 3.5349 3.5349
3.5349 0.0000 3.5349
3.5349 3.5349 0.0000
Li Be Hg
4 1 1
direct
0.8743 0.3752 0.3752
0.3752 0.3752 0.8743
0.3752 0.8743 0.3752
0.3752 0.3752 0.3752
0.7500 0.7500 0.7500
0.0000 0.0000 0.0000
```

Its space-group type is No. 216.


4.
# Sr4AlZn

Sr4AlZn after structural relaxation (PBE-GGA, the Alexandria database).

Geometry as POSCAR:
```
Sr4AlZn
1.0
-5.4921 1.1130 -0.4189
-3.7163 -4.2054 -0.1408
-3.7148 -0.7775 8.9482
Sr Al Zn
4 1 1
direct
0.6230 0.6229 0.1312
0.3770 0.3771 0.8688
0.1270 0.1269 0.6190
0.8730 0.8731 0.3810
0.5000 0.5000 0.5000
0.0000 0.0000 0.0000
```

Its space-group type is No. 12.


The calculation returns the following calculated total energy values, one per record and in order: -4.962; -2.825; -1.778; -1.952 eV per atom.
The calculation returns the following formation enthalpy at 0 K values, one per record and in order: -0.74; 0.38; 0.17; 0.00 eV per atom.